Entry 1
A geometry-optimized RbBe2H6 structure, computed with PBE.

Cell: 14.045 7.749 3.152 Å, 144.39 26.25 131.56°
Sites, in units of the cell vectors:
Be 0.635 0.595 0.150
Be 0.365 0.405 0.850
Rb 0.000 0.000 0.000
H 0.388 0.725 0.397
H 0.913 0.542 0.932
H 0.087 0.458 0.068
H 0.612 0.275 0.603
H 0.683 0.657 0.580
H 0.317 0.343 0.420

Volume   85 Å³/f.u.

Entry 2
A geometry-optimized RbBe2H6 structure, computed with PBE.

Cell: 3.466 5.061 7.133 Å, 58.38 75.94 69.97°
Sites, in units of the cell vectors:
Rb 0.000 0.500 0.500
Be 0.225 0.650 0.900
Be 0.775 0.350 0.100
H 0.683 0.691 0.944
H 0.317 0.309 0.056
H 0.051 0.903 0.995
H 0.274 0.780 0.671
H 0.949 0.097 0.005
H 0.726 0.220 0.329

Volume   100 Å³/f.u.

Entry 3
A geometry-optimized RbBe2H6 structure, computed with PBE.

Cell: 7.147 6.124 6.124 Å, 37.06 47.47 47.47°
Sites, in units of the cell vectors:
Rb 0.000 0.000 0.000
Be 0.592 0.894 0.894
Be 0.408 0.106 0.106
H 0.706 0.738 0.738
H 0.656 0.720 0.219
H 0.656 0.219 0.720
H 0.294 0.262 0.262
H 0.344 0.280 0.781
H 0.344 0.781 0.280

Volume   113 Å³/f.u.

Which structure loses on stability? entry 3 does.

Entry 1
A geometry-optimized RbBe2H structure, computed with PBE.

Cell: 4.284 4.284 10.085 Å, 90.19 102.07 119.99°
Sites, in units of the cell vectors:
Rb 0.282 0.000 0.663
Rb 0.038 0.875 0.291
Be 0.507 0.115 0.000
Be 0.989 0.605 0.973
Be 0.989 0.107 0.973
Be 0.488 0.605 0.973
H 0.495 0.605 0.480
H 0.092 0.406 0.876

Volume   78 Å³/f.u.

Entry 2
A geometry-optimized RbBe2H structure, computed with PBE.

Cell: 3.778 4.228 10.553 Å, 90.00 91.64 90.00°
Sites, in units of the cell vectors:
Rb 0.534 0.000 0.949
Rb 0.077 0.500 0.507
Be 0.559 0.760 0.249
Be 0.559 0.240 0.249
Be 0.054 0.500 0.187
Be 0.057 0.000 0.220
H 0.042 0.500 0.047
H 0.566 0.000 0.363

Volume   84 Å³/f.u.

Which structure loses on stability? entry 2 does.